No. 1
The following is a PBE calculation of crystalline AlGe2Pd8 at its relaxed geometry, from Alexandria via LeMat-Bulk.

Unit cell a=14.308 b=4.154 c=6.090 alpha=90.00 beta=110.93 gamma=90.00
Space group C2/m (No. 12)
Symmetry-distinct sites (fractional):
Al (0.000, 0.000, 0.000) x2
Ge (0.181, 0.500, 0.680) x4
Pd (0.028, 0.500, 0.783) x4
Pd (0.095, 0.000, 0.458) x4
Pd (0.172, 0.000, 0.954) x4
Pd (0.186, 0.500, 0.278) x4

Results
- Energy relative to the elements: -512 meV/atom

=====

No. 2
The following is a PBE calculation of crystalline Sr2Tl2Ga at its relaxed geometry, from Alexandria via LeMat-Bulk.

Unit cell a=12.143 b=4.790 c=12.214 alpha=90.00 beta=116.53 gamma=90.00
Space group C2/m (No. 12)
Symmetry-distinct sites (fractional):
Sr (0.004, 0.000, 0.334) x4
Sr (0.185, 0.000, 0.114) x4
Tl (0.031, 0.500, 0.885) x4
Tl (0.157, 0.500, 0.553) x4
Ga (0.209, 0.500, 0.331) x4

Results
- Energy relative to the elements: -390 meV/atom

=====

no.,total energy (eV per cell),E above lowest polymorph (eV/f.u.)
1,-120.309,0.09
2,-52.288,0.00